Entry 1:
The following is a PBE calculation of an optimized crystal structure of ZnB2P, from Alexandria.

Cell lengths 3.920, 3.920, 3.920 Å; angles 60.00, 60.00, 60.00 degrees
Fractional coordinates of all 4 atoms:
P1 0.000 0.000 0.000
Zn1 0.500 0.500 0.500
B1 0.250 0.250 0.250
B2 0.750 0.750 0.750

Results
* formation enthalpy at 0 K: 1.399 eV/atom
* total magnetic moment: 0.000 μB per atom
* total energy: -14.44 eV for the cell shown
* offset from the most stable computed form: 0.903 eV per atom

=====

Entry 2:
The following is a PBE calculation of an optimized crystal structure of ZrBP3, from Alexandria.

Cell lengths 5.012, 5.012, 5.012 Å; angles 90.00, 90.00, 90.00 degrees
Fractional coordinates of all 5 atoms:
P1 0.000 0.500 0.000
P2 0.000 0.000 0.500
P3 0.500 0.000 0.000
B1 0.500 0.500 0.500
Zr1 0.000 0.000 0.000

Results
* formation enthalpy at 0 K: 1.323 eV/atom
* total magnetic moment: 0.000 μB per atom
* total energy: -24.84 eV for the cell shown
* offset from the most stable computed form: 0.989 eV per atom

=====

Entry 3:
The following is a PBE calculation of an optimized crystal structure of ZrBP3, from Alexandria.

Cell lengths 4.201, 4.201, 4.201 Å; angles 90.00, 90.00, 90.00 degrees
Fractional coordinates of all 5 atoms:
P1 0.000 0.500 0.000
P2 0.000 0.000 0.500
P3 0.500 0.000 0.000
B1 0.000 0.000 0.000
Zr1 0.500 0.500 0.500

Results
* formation enthalpy at 0 K: 0.334 eV/atom
* total magnetic moment: 0.000 μB per atom
* total energy: -29.79 eV for the cell shown
* offset from the most stable computed form: 0.000 eV per atom

=====

Entry 4:
The following is a PBE calculation of an optimized crystal structure of PaB3, from Alexandria.

Cell lengths 4.368, 4.368, 9.472 Å; angles 90.04, 103.30, 119.98 degrees
Fractional coordinates of all 12 atoms:
Pa1 0.240 0.119 0.359
Pa2 0.760 0.881 0.641
Pa3 0.000 0.000 0.000
B1 0.577 0.973 0.181
B2 0.208 0.604 0.181
B3 0.578 0.604 0.182
B4 0.000 0.500 0.500
B5 0.188 0.595 0.783
B6 0.812 0.405 0.217
B7 0.792 0.396 0.819
B8 0.423 0.027 0.819
B9 0.422 0.396 0.818

Results
* formation enthalpy at 0 K: -0.154 eV/atom
* total magnetic moment: 0.057 μB per atom
* total energy: -90.44 eV for the cell shown
* offset from the most stable computed form: 0.065 eV per atom

=====

Density in g/cm3, matching the order above: 4.6 2.6 4.4 8.7